Entry 1:
Below is an optimized crystal structure of LaDyY5Tm2, with properties calculated at the GGA-PBE level.

Lattice parameters (Å, degrees): 10.4128 10.4128 10.4730 90.00 90.00 148.62
Last column: nearest neighbours and their distance in Å.
Sites, in units of the cell vectors:
La: 0.0841 0.9159 0.5000  5 Y 3.05-3.30
La: 0.9159 0.0841 0.0000  5 Y 3.05-3.30
Dy: 0.3040 0.6960 0.0717  2 Tm 3.39-3.59, 7 Y 3.47-3.75, 2 La 3.68
Dy: 0.6960 0.3040 0.5717  2 Tm 3.39-3.59, 7 Y 3.47-3.75, 2 La 3.68
Y: 0.0221 0.9779 0.7918  2 La 3.05-3.30
Y: 0.1170 0.8830 0.0809  4 Tm 3.55-3.57, 6 Y 3.56-3.88, 1 Dy 3.75
Y: 0.2025 0.7975 0.7656  4 Y 3.40-3.72, 3 Dy 3.47-3.80, 3 Tm 3.54-3.72, 1 La 3.66
Y: 0.2230 0.7770 0.3792  1 La 3.06, 1 Tm 3.31, 2 Y 3.40
Y: 0.4840 0.5160 0.0797  2 La 3.24, 3 Tm 3.35-3.59, 2 Y 3.59, 1 Dy 3.61
Y: 0.5160 0.4840 0.5797  2 La 3.24, 3 Tm 3.35-3.59, 2 Y 3.59, 1 Dy 3.61
Y: 0.7770 0.2230 0.8792  1 La 3.06, 1 Tm 3.31, 2 Y 3.40
Y: 0.7975 0.2025 0.2656  4 Y 3.40-3.72, 3 Dy 3.47-3.80, 3 Tm 3.54-3.72, 1 La 3.66
Y: 0.8830 0.1170 0.5809  4 Tm 3.55-3.57, 6 Y 3.56-3.88, 1 Dy 3.75
Y: 0.9779 0.0221 0.2918  2 La 3.05-3.30
Tm: 0.3879 0.6121 0.3746  9 Y 3.31-3.64, 1 Dy 3.59
Tm: 0.3876 0.6124 0.7906  1 Dy 3.39, 7 Y 3.39-3.72, 2 La 3.61
Tm: 0.6124 0.3876 0.2906  1 Dy 3.39, 7 Y 3.39-3.72, 2 La 3.61
Tm: 0.6121 0.3879 0.8746  9 Y 3.31-3.64, 1 Dy 3.59

Computed properties:
density of states at the Fermi level = 16.4 states/eV/f.u.
total magnetization = 0.00 μB/f.u.
formation energy from the elements = 0.169 eV/atom
E = -5.475 eV per atom
crystal system = orthorhombic



Entry 2:
Below is an optimized crystal structure of Dy11Cd9In4, with properties calculated at the GGA-PBE level.

Lattice parameters (Å, degrees): 13.4075 13.4075 3.6305 90.00 90.00 104.91
Last column: nearest neighbours and their distance in Å.
Sites, in units of the cell vectors:
Dy: 0.0000 0.0000 0.0000  8 Cd 3.16
Dy: 0.0633 0.4027 0.0000  6 Cd 3.23-3.31, 2 In 3.25, 2 Dy 3.46-3.61
Dy: 0.1834 0.8166 0.0000  8 Cd 3.20-3.23
Dy: 0.2265 0.2265 0.0000  4 In 3.23, 4 Cd 3.29, 2 Dy 3.61
Dy: 0.3597 0.6403 0.0000  4 In 3.28, 6 Cd 3.32-3.49, 2 Dy 3.63
Dy: 0.4027 0.0633 0.0000  6 Cd 3.23-3.31, 2 In 3.25, 2 Dy 3.46-3.61
Dy: 0.5973 0.9367 0.0000  6 Cd 3.23-3.31, 2 In 3.25, 2 Dy 3.46-3.61
Dy: 0.6403 0.3597 0.0000  4 In 3.28, 6 Cd 3.32-3.49, 2 Dy 3.63
Dy: 0.7735 0.7735 0.0000  4 In 3.23, 4 Cd 3.29, 2 Dy 3.61
Dy: 0.8166 0.1834 0.0000  8 Cd 3.20-3.23
Dy: 0.9367 0.5973 0.0000  6 Cd 3.23-3.31, 2 In 3.25, 2 Dy 3.46-3.61
Cd: 0.0162 0.1967 0.5000  8 Dy 3.16-3.29, 1 Cd 3.48
Cd: 0.1466 0.6110 0.5000  8 Dy 3.23-3.32, 1 In 3.24
Cd: 0.1967 0.0162 0.5000  8 Dy 3.16-3.29, 1 Cd 3.48
Cd: 0.3890 0.8534 0.5000  8 Dy 3.23-3.32, 1 In 3.24
Cd: 0.5000 0.5000 0.5000  4 In 2.98
Cd: 0.6110 0.1466 0.5000  8 Dy 3.23-3.32, 1 In 3.24
Cd: 0.8033 0.9838 0.5000  8 Dy 3.16-3.29, 1 Cd 3.48
Cd: 0.8534 0.3890 0.5000  8 Dy 3.23-3.32, 1 In 3.24
Cd: 0.9838 0.8033 0.5000  8 Dy 3.16-3.29, 1 Cd 3.48
In: 0.2703 0.4328 0.5000  2 Cd 2.98-3.24, 6 Dy 3.23-3.28
In: 0.4328 0.2703 0.5000  2 Cd 2.98-3.24, 6 Dy 3.23-3.28
In: 0.5672 0.7297 0.5000  2 Cd 2.98-3.24, 6 Dy 3.23-3.28
In: 0.7297 0.5672 0.5000  2 Cd 2.98-3.24, 6 Dy 3.23-3.28

Computed properties:
density of states at the Fermi level = 20.8 states/eV/f.u.
total magnetization = 1.00 μB/f.u.
formation energy from the elements = -0.328 eV/atom
E = -3.237 eV per atom
crystal system = orthorhombic



Entry 3:
Below is an optimized crystal structure of LaNdTmAg, with properties calculated at the GGA-PBE level.

Lattice parameters (Å, degrees): 3.6794 3.6794 8.8096 90.00 90.00 90.00
Last column: nearest neighbours and their distance in Å.
Sites, in units of the cell vectors:
La: 0.0000 0.0000 0.0000  4 Tm 3.64, 4 La 3.68, 4 Nd 3.71
Nd: 0.5000 0.5000 0.7001  4 Ag 3.29, 1 Tm 3.63, 4 Nd 3.68
Tm: 0.5000 0.5000 0.2884  4 Ag 3.06
Ag: 0.0000 0.0000 0.4718  4 Tm 3.06, 4 Nd 3.29

Computed properties:
density of states at the Fermi level = 5.6 states/eV/f.u.
total magnetization = 0.00 μB/f.u.
energy above the most stable polymorph in this dataset = 0.000 eV/atom
formation energy from the elements = -0.121 eV/atom
E = -4.376 eV per atom
crystal system = tetragonal



Entry 4:
Below is an optimized crystal structure of Mg2NbTeAu, with properties calculated at the GGA-PBE level.

Lattice parameters (Å, degrees): 5.1705 5.1705 5.1300 90.00 90.00 90.00
Last column: nearest neighbours and their distance in Å.
Sites, in units of the cell vectors:
Mg: 0.0000 0.5000 0.0000  2 Te 2.59
Mg: 0.5000 0.0000 0.0000  2 Te 2.59
Nb: 0.0000 0.0000 0.5000  2 Te 2.57
Te: 0.0000 0.0000 0.0000  2 Nb 2.57, 4 Mg 2.59
Au: 0.5000 0.5000 0.5000  8 Mg 3.64, 4 Nb 3.66

Computed properties:
density of states at the Fermi level = 4.9 states/eV/f.u.
total magnetization = 0.00 μB/f.u.
ΔE_f (raw) = 0.815 eV/atom
E = -3.121 eV per atom
crystal system = tetragonal



Entry 5:
Below is an optimized crystal structure of Ca3InBi, with properties calculated at the GGA-PBE level.

Lattice parameters (Å, degrees): 9.5823 8.5171 8.9627 90.00 116.26 90.00
Last column: nearest neighbours and their distance in Å.
Sites, in units of the cell vectors:
Ca: 0.0256 0.0144 0.3106  4 Bi 3.18-3.42
Ca: 0.0256 0.4856 0.8106  4 Bi 3.18-3.42
Ca: 0.2723 0.1269 0.0876  2 Bi 3.17-3.43, 2 In 3.18-3.43, 1 Ca 3.54
Ca: 0.2723 0.3731 0.5876  2 Bi 3.17-3.43, 2 In 3.18-3.43, 1 Ca 3.54
Ca: 0.4079 0.7148 0.9598  3 In 3.28-3.55, 2 Bi 3.37-3.41, 1 Ca 3.54
Ca: 0.4079 0.7852 0.4598  3 In 3.28-3.55, 2 Bi 3.37-3.41, 1 Ca 3.54
Ca: 0.5921 0.2148 0.5402  3 In 3.28-3.55, 2 Bi 3.37-3.41, 1 Ca 3.54
Ca: 0.5921 0.2852 0.0402  3 In 3.28-3.55, 2 Bi 3.37-3.41, 1 Ca 3.54
Ca: 0.7277 0.6269 0.4124  2 Bi 3.17-3.43, 2 In 3.18-3.43, 1 Ca 3.54
Ca: 0.7277 0.8731 0.9124  2 Bi 3.17-3.43, 2 In 3.18-3.43, 1 Ca 3.54
Ca: 0.9744 0.5144 0.1894  4 Bi 3.18-3.42
Ca: 0.9744 0.9856 0.6894  4 Bi 3.18-3.42
In: 0.3578 0.0231 0.7192  5 Ca 3.18-3.55, 1 Bi 3.42
In: 0.3578 0.4769 0.2192  5 Ca 3.18-3.55, 1 Bi 3.42
In: 0.6422 0.5231 0.7808  5 Ca 3.18-3.55, 1 Bi 3.42
In: 0.6422 0.9769 0.2808  5 Ca 3.18-3.55, 1 Bi 3.42
Bi: 0.1170 0.7073 0.5629  8 Ca 3.17-3.43, 1 In 3.42
Bi: 0.1170 0.7927 0.0629  8 Ca 3.17-3.43, 1 In 3.42
Bi: 0.8830 0.2073 0.9371  8 Ca 3.17-3.43, 1 In 3.42
Bi: 0.8830 0.2927 0.4371  8 Ca 3.17-3.43, 1 In 3.42

Computed properties:
density of states at the Fermi level = 2.4 states/eV/f.u.
total magnetization = 0.00 μB/f.u.
energy above the most stable polymorph in this dataset = 0.000 eV/atom
formation energy from the elements = -0.545 eV/atom
E = -3.070 eV per atom
crystal system = monoclinic



Entry 6:
Below is an optimized crystal structure of HoCuNiRh, with properties calculated at the GGA-PBE level.

Lattice parameters (Å, degrees): 4.4580 4.4580 4.4580 60.00 60.00 60.00
Last column: nearest neighbours and their distance in Å.
Sites, in units of the cell vectors:
Ho: 0.0000 0.0000 0.0000  4 Ni 2.73, 4 Rh 2.73
Cu: 0.5000 0.5000 0.5000  4 Ni 2.73, 4 Rh 2.73
Ni: 0.7500 0.7500 0.7500  4 Ho 2.73, 4 Cu 2.73
Rh: 0.2500 0.2500 0.2500  4 Ho 2.73, 4 Cu 2.73

Computed properties:
density of states at the Fermi level = 1.3 states/eV/f.u.
total magnetization = 0.00 μB/f.u.
formation energy from the elements = -0.309 eV/atom
E = -5.761 eV per atom
crystal system = cubic



Entry 7:
Below is an optimized crystal structure of SrHg2W, with properties calculated at the GGA-PBE level.

Lattice parameters (Å, degrees): 3.1055 4.1843 7.0849 90.00 90.07 90.00
Last column: nearest neighbours and their distance in Å.
Sites, in units of the cell vectors:
Sr: 0.0000 0.0000 0.0000  2 Sr 3.11, 8 Hg 3.33-3.34
Hg: 0.4998 0.5000 0.2940  3 Hg 2.92-3.11, 4 W 2.99
Hg: 0.5002 0.5000 0.7060  3 Hg 2.92-3.11, 4 W 2.99
W: 0.0000 0.0000 0.5000  8 Hg 2.99, 2 W 3.11

Computed properties:
density of states at the Fermi level = 2.4 states/eV/f.u.
total magnetization = 0.64 μB/f.u.
energy above the most stable polymorph in this dataset = 0.000 eV/atom
formation energy from the elements = 0.530 eV/atom
E = -3.280 eV per atom
crystal system = monoclinic



Entry 8:
Below is an optimized crystal structure of DyNiPt, with properties calculated at the GGA-PBE level.

Lattice parameters (Å, degrees): 5.2477 5.2477 5.2477 121.48 117.32 91.08
Last column: nearest neighbours and their distance in Å.
Sites, in units of the cell vectors:
Dy: 0.3699 0.1199 0.2500  6 Ni 3.01-3.16, 6 Pt 3.04-3.11, 4 Dy 3.20-3.25
Dy: 0.6301 0.8801 0.7500  6 Ni 3.01-3.16, 6 Pt 3.04-3.11, 4 Dy 3.20-3.25
Ni: 0.0000 0.0000 0.5000  2 Ni 2.56, 4 Pt 2.62
Ni: 0.0000 0.5000 0.0000  2 Ni 2.56, 4 Pt 2.62
Pt: 0.0000 0.5000 0.5000  4 Ni 2.62, 2 Pt 2.73
Pt: 0.5000 0.5000 0.0000  4 Ni 2.62, 2 Pt 2.73

Computed properties:
density of states at the Fermi level = 1.5 states/eV/f.u.
total magnetization = 0.00 μB/f.u.
formation energy from the elements = -0.863 eV/atom
E = -6.338 eV per atom
crystal system = orthorhombic



Repeat the fifth record exactly.
Below is an optimized crystal structure of Ca3InBi, with properties calculated at the GGA-PBE level.

Lattice parameters (Å, degrees): 9.5823 8.5171 8.9627 90.00 116.26 90.00
Last column: nearest neighbours and their distance in Å.
Sites, in units of the cell vectors:
Ca: 0.0256 0.0144 0.3106  4 Bi 3.18-3.42
Ca: 0.0256 0.4856 0.8106  4 Bi 3.18-3.42
Ca: 0.2723 0.1269 0.0876  2 Bi 3.17-3.43, 2 In 3.18-3.43, 1 Ca 3.54
Ca: 0.2723 0.3731 0.5876  2 Bi 3.17-3.43, 2 In 3.18-3.43, 1 Ca 3.54
Ca: 0.4079 0.7148 0.9598  3 In 3.28-3.55, 2 Bi 3.37-3.41, 1 Ca 3.54
Ca: 0.4079 0.7852 0.4598  3 In 3.28-3.55, 2 Bi 3.37-3.41, 1 Ca 3.54
Ca: 0.5921 0.2148 0.5402  3 In 3.28-3.55, 2 Bi 3.37-3.41, 1 Ca 3.54
Ca: 0.5921 0.2852 0.0402  3 In 3.28-3.55, 2 Bi 3.37-3.41, 1 Ca 3.54
Ca: 0.7277 0.6269 0.4124  2 Bi 3.17-3.43, 2 In 3.18-3.43, 1 Ca 3.54
Ca: 0.7277 0.8731 0.9124  2 Bi 3.17-3.43, 2 In 3.18-3.43, 1 Ca 3.54
Ca: 0.9744 0.5144 0.1894  4 Bi 3.18-3.42
Ca: 0.9744 0.9856 0.6894  4 Bi 3.18-3.42
In: 0.3578 0.0231 0.7192  5 Ca 3.18-3.55, 1 Bi 3.42
In: 0.3578 0.4769 0.2192  5 Ca 3.18-3.55, 1 Bi 3.42
In: 0.6422 0.5231 0.7808  5 Ca 3.18-3.55, 1 Bi 3.42
In: 0.6422 0.9769 0.2808  5 Ca 3.18-3.55, 1 Bi 3.42
Bi: 0.1170 0.7073 0.5629  8 Ca 3.17-3.43, 1 In 3.42
Bi: 0.1170 0.7927 0.0629  8 Ca 3.17-3.43, 1 In 3.42
Bi: 0.8830 0.2073 0.9371  8 Ca 3.17-3.43, 1 In 3.42
Bi: 0.8830 0.2927 0.4371  8 Ca 3.17-3.43, 1 In 3.42

Computed properties:
density of states at the Fermi level = 2.4 states/eV/f.u.
total magnetization = 0.00 μB/f.u.
energy above the most stable polymorph in this dataset = 0.000 eV/atom
formation energy from the elements = -0.545 eV/atom
E = -3.070 eV per atom
crystal system = monoclinic